[1]
DFT (GGA+U) results for a geometry-optimized NaSrCr2F8 structure.

Raw total energy: -5.566 eV per atom
Total moment: 7.000 μB per formula unit

a = 5.4812 Å, b = 5.4812 Å, c = 6.7794 Å
α = 113.84°, β = 113.84°, γ = 90.00°
Sites, in units of the cell vectors:
F: 0.1892 0.5874 0.7975
Cr: 0.5000 0.5000 0.0000
Sr: 0.0000 0.0000 0.0000
Na: 0.7500 0.2500 0.5000
F: 0.3564 0.9073 0.3061
F: 0.7899 0.8108 0.2025
Cr: 0.2500 0.7500 0.5000
F: 0.9497 0.3989 0.3061
F: 0.4126 0.3918 0.2025
F: 0.0927 0.0503 0.6939
F: 0.6011 0.6436 0.6939
F: 0.6082 0.2101 0.7975

---

[2]
DFT (GGA+U) results for a geometry-optimized NaSrCrF6 structure.

Raw total energy: -5.608 eV per atom
Total moment: 3.000 μB per formula unit
DOS(E_F): 0.0000 states/eV/atom

a = 5.6041 Å, b = 5.6041 Å, c = 10.1461 Å
α = 90.00°, β = 90.00°, γ = 120.00°
Sites, in units of the cell vectors:
F: 0.6670 0.0461 0.3592
F: 0.6209 0.6670 0.6408
F: 0.6209 0.9539 0.8592
Cr: 0.3333 0.6667 0.7500
Sr: 0.0000 0.0000 0.0000
F: 0.9539 0.3330 0.1408
F: 0.0461 0.3791 0.6408
F: 0.3330 0.3791 0.8592
F: 0.9539 0.6209 0.3592
F: 0.3330 0.9539 0.6408
Na: 0.6667 0.3333 0.7500
Cr: 0.6667 0.3333 0.2500
F: 0.0461 0.6670 0.8592
F: 0.3791 0.0461 0.1408
F: 0.6670 0.6209 0.1408
F: 0.3791 0.3330 0.3592
Sr: 0.0000 0.0000 0.5000
Na: 0.3333 0.6667 0.2500

---

[3]
DFT (GGA+U) results for a geometry-optimized Na2TbCrF8 structure.

Raw total energy: -5.678 eV per atom
Total moment: 3.000 μB per formula unit
DOS(E_F): 0.0000 states/eV/atom

a = 5.0408 Å, b = 5.2002 Å, c = 6.7283 Å
α = 90.00°, β = 90.00°, γ = 91.29°
Sites, in units of the cell vectors:
F: 0.3048 0.2952 0.5000
Na: 0.5000 0.5000 0.7649
Tb: 0.0000 0.0000 0.5000
F: 0.8217 0.1764 0.7754
Cr: 0.0000 0.0000 0.0000
Na: 0.5000 0.5000 0.2351
F: 0.1783 0.8236 0.7754
F: 0.6952 0.7048 0.5000
F: 0.8217 0.1764 0.2246
F: 0.2702 0.2648 0.0000
F: 0.7298 0.7352 0.0000
F: 0.1783 0.8236 0.2246

---

[4]
DFT (GGA+U) results for a geometry-optimized NaCrTeF2 structure.

Raw total energy: -4.168 eV per atom
Total moment: 3.000 μB per formula unit
DOS(E_F): 0.3719 states/eV/atom

a = 4.1718 Å, b = 5.7575 Å, c = 4.1718 Å
α = 90.00°, β = 90.00°, γ = 90.00°
Sites, in units of the cell vectors:
Cr: 0.5000 0.5000 0.5000
Na: 0.0000 0.0000 0.0000
F: 0.5000 0.0000 0.0000
Te: 0.0000 0.5000 0.0000
F: 0.0000 0.0000 0.5000

---

Number 1 is which compound? NaSrCr2F8

---

Number 1 is which compound? NaSrCr2F8

---

Please write out number 1 again, unchanged.
DFT (GGA+U) results for a geometry-optimized NaSrCr2F8 structure.

Raw total energy: -5.566 eV per atom
Total moment: 7.000 μB per formula unit

a = 5.4812 Å, b = 5.4812 Å, c = 6.7794 Å
α = 113.84°, β = 113.84°, γ = 90.00°
Sites, in units of the cell vectors:
F: 0.1892 0.5874 0.7975
Cr: 0.5000 0.5000 0.0000
Sr: 0.0000 0.0000 0.0000
Na: 0.7500 0.2500 0.5000
F: 0.3564 0.9073 0.3061
F: 0.7899 0.8108 0.2025
Cr: 0.2500 0.7500 0.5000
F: 0.9497 0.3989 0.3061
F: 0.4126 0.3918 0.2025
F: 0.0927 0.0503 0.6939
F: 0.6011 0.6436 0.6939
F: 0.6082 0.2101 0.7975

---

The highest total moment belongs to which entry? NaSrCr2F8